(1)
Density functional theory data (PBE-GGA) for a relaxed structure of Ni5Br.

a b c (Å): 7.5363 3.5446 7.2470
angles (deg): 90.00 102.97 90.00
Space group Cm (No. 8)
Asymmetric unit:
Ni (0.0000, 0.0000, 0.0000) (multiplicity 2)
Ni (0.0150, 0.0000, 0.6778) (multiplicity 2)
Ni (0.1722, 0.5000, 0.8928) (multiplicity 2)
Ni (0.3286, 0.0000, 0.1201) (multiplicity 2)
Ni (0.3454, 0.0000, 0.7908) (multiplicity 2)
Br (0.3949, 0.5000, 0.3541) (multiplicity 2)

N(E_F) in states/eV/f.u.: 9.36
Formation energy (no corrections) in eV per atom: 0.279


(2)
Density functional theory data (PBE-GGA) for a relaxed structure of AsRhCl2.

a b c (Å): 14.1821 3.2821 4.2130
angles (deg): 90.00 97.10 90.00
Space group C2/m (No. 12)
Asymmetric unit:
As (0.0000, 0.0000, 0.0000) (multiplicity 2)
Rh (0.0000, 0.5000, 0.5000) (multiplicity 2)
Cl (0.1409, 0.0000, 0.6986) (multiplicity 4)

N(E_F) in states/eV/f.u.: 2.00
Formation energy (no corrections) in eV per atom: -0.080


(3)
Density functional theory data (PBE-GGA) for a relaxed structure of KBi12Au6.

a b c (Å): 13.9380 13.9380 10.3593
angles (deg): 90.00 90.00 120.00
Space group R-3m (No. 166, hexagonal axes)
Asymmetric unit:
K (0.0000, 0.0000, 0.0000) (multiplicity 3)
Bi (0.0000, 0.3760, 0.5000) (multiplicity 18)
Bi (0.0840, 0.1679, 0.3593) (multiplicity 18)
Au (0.0291, 0.5145, 0.2668) (multiplicity 18)

DFT formation energy in eV/atom: -0.03
N(E_F) in states/eV/f.u.: 10.86


(4)
Density functional theory data (PBE-GGA) for a relaxed structure of Tl4Te2S5.

a b c (Å): 12.0798 7.4896 8.4198
angles (deg): 90.00 112.29 90.00
Space group Cm (No. 8)
Asymmetric unit:
Tl (0.0000, 0.0000, 0.0000) (multiplicity 2)
Tl (0.0610, 0.5000, 0.2571) (multiplicity 2)
Tl (0.2566, 0.0000, 0.7471) (multiplicity 2)
Tl (0.4310, 0.5000, 0.3718) (multiplicity 2)
Te (0.1027, 0.5000, 0.8113) (multiplicity 2)
Te (0.3095, 0.0000, 0.3784) (multiplicity 2)
S (0.2140, 0.5000, 0.6334) (multiplicity 2)
S (0.2341, 0.2481, 0.1774) (multiplicity 4)
S (0.4607, 0.2394, 0.7117) (multiplicity 4)

Formation energy (no corrections) in eV per atom: -0.172


(5)
Density functional theory data (PBE-GGA) for a relaxed structure of CaCd2BCl.

a b c (Å): 5.9680 5.9680 3.8693
angles (deg): 90.00 90.00 90.00
Space group P4/mmm (No. 123)
Asymmetric unit:
Ca (0.0000, 0.0000, 0.0000) (multiplicity 1)
Cd (0.0000, 0.5000, 0.5000) (multiplicity 2)
B (0.5000, 0.5000, 0.0000) (multiplicity 1)
Cl (0.5000, 0.5000, 0.5000) (multiplicity 1)

N(E_F) in states/eV/f.u.: 2.59
Formation energy (no corrections) in eV per atom: 0.739


(6)
Density functional theory data (PBE-GGA) for a relaxed structure of ErGa4Ir2Pt.

a b c (Å): 4.2689 4.2689 25.8706
angles (deg): 90.00 90.00 120.00
Space group R-3m (No. 166, hexagonal axes)
Asymmetric unit:
Er (0.0000, 0.0000, 0.0000) (multiplicity 3)
Ga (0.0000, 0.0000, 0.1297) (multiplicity 6)
Ga (0.0000, 0.0000, 0.3973) (multiplicity 6)
Ir (0.0000, 0.0000, 0.2527) (multiplicity 6)
Pt (0.0000, 0.0000, 0.5000) (multiplicity 3)

DFT formation energy in eV/atom: -0.52
N(E_F) in states/eV/f.u.: 3.79


(7)
Density functional theory data (PBE-GGA) for a relaxed structure of MnFe2W.

a b c (Å): 5.8454 5.8454 5.8454
angles (deg): 90.00 90.00 90.00
Space group F-43m (No. 216)
Asymmetric unit:
Mn (0.0000, 0.0000, 0.0000) (multiplicity 4)
Fe (0.0000, 0.0000, 0.5000) (multiplicity 4)
Fe (0.2500, 0.2500, 0.2500) (multiplicity 4)
W (0.2500, 0.2500, 0.7500) (multiplicity 4)

DFT formation energy in eV/atom: 0.04
N(E_F) in states/eV/f.u.: 1.59


(8)
Density functional theory data (PBE-GGA) for a relaxed structure of RbLi2PuCl8.

a b c (Å): 6.4155 6.4320 9.4912
angles (deg): 89.44 89.42 75.09
Space group P-1 (No. 2)
Asymmetric unit:
Rb (0.0000, 0.0000, 0.0000) (multiplicity 1)
Li (0.4999, 0.5000, 0.1586) (multiplicity 2)
Pu (0.0000, 0.0000, 0.5000) (multiplicity 1)
Cl (0.2295, 0.7694, 0.6933) (multiplicity 2)
Cl (0.2357, 0.7754, 0.3067) (multiplicity 2)
Cl (0.2387, 0.2449, 0.5010) (multiplicity 2)
Cl (0.3264, 0.3282, 0.0023) (multiplicity 2)

N(E_F) in states/eV/f.u.: 13.26
Formation energy (no corrections) in eV per atom: -1.589


(9)
Density functional theory data (PBE-GGA) for a relaxed structure of Y3Tl3Cd2.

a b c (Å): 8.2824 8.2824 3.6587
angles (deg): 90.00 90.00 120.00
Space group P-62m (No. 189)
Asymmetric unit:
Y (0.0000, 0.6291, 0.0000) (multiplicity 3)
Tl (0.0000, 0.2547, 0.5000) (multiplicity 3)
Cd (0.3333, 0.6667, 0.5000) (multiplicity 2)

DFT formation energy in eV/atom: -0.27
N(E_F) in states/eV/f.u.: 6.44


(10)
Density functional theory data (PBE-GGA) for a relaxed structure of FeCu2Mo.

a b c (Å): 2.5920 2.5920 7.7343
angles (deg): 90.00 90.00 90.00
Space group P4mm (No. 99)
Asymmetric unit:
Fe (0.0000, 0.0000, 0.0000) (multiplicity 1)
Cu (0.0000, 0.0000, 0.5357) (multiplicity 1)
Cu (0.5000, 0.5000, 0.7687) (multiplicity 1)
Mo (0.5000, 0.5000, 0.2707) (multiplicity 1)

DFT formation energy in eV/atom: 0.16
N(E_F) in states/eV/f.u.: 3.82


(11)
Density functional theory data (PBE-GGA) for a relaxed structure of CsCdICl2.

a b c (Å): 5.4150 5.4150 5.9213
angles (deg): 90.00 90.00 90.00
Space group P4/mmm (No. 123)
Asymmetric unit:
Cs (0.0000, 0.0000, 0.0000) (multiplicity 1)
Cd (0.5000, 0.5000, 0.5000) (multiplicity 1)
I (0.5000, 0.5000, 0.0000) (multiplicity 1)
Cl (0.0000, 0.5000, 0.5000) (multiplicity 2)

Formation energy (no corrections) in eV per atom: -1.262


(12)
Density functional theory data (PBE-GGA) for a relaxed structure of PrSn3Pt.

a b c (Å): 4.6565 24.7836 4.5287
angles (deg): 90.00 90.00 90.00
Space group Cmmm (No. 65)
Asymmetric unit:
Pr (0.0000, 0.1673, 0.0000) (multiplicity 4)
Sn (0.0000, 0.0585, 0.5000) (multiplicity 4)
Sn (0.0000, 0.2812, 0.5000) (multiplicity 4)
Sn (0.0000, 0.4422, 0.0000) (multiplicity 4)
Pt (0.0000, 0.3854, 0.5000) (multiplicity 4)

DFT formation energy in eV/atom: -0.64
N(E_F) in states/eV/f.u.: 1.83


(13)
Density functional theory data (PBE-GGA) for a relaxed structure of FeSnS.

a b c (Å): 11.6375 3.2796 7.0190
angles (deg): 90.00 126.38 90.00
Space group Cm (No. 8)
Asymmetric unit:
Fe (0.0000, 0.0000, 0.0000) (multiplicity 2)
Fe (0.2031, 0.5000, 0.7460) (multiplicity 2)
Sn (0.0012, 0.0000, 0.4149) (multiplicity 2)
Sn (0.2305, 0.5000, 0.3815) (multiplicity 2)
S (0.0718, 0.5000, 0.8748) (multiplicity 2)
S (0.3518, 0.0000, 0.9803) (multiplicity 2)

N(E_F) in states/eV/f.u.: 2.16
Formation energy (no corrections) in eV per atom: -0.107


(14)
Density functional theory data (PBE-GGA) for a relaxed structure of VFe2Pt3.

a b c (Å): 2.7348 2.7348 11.3418
angles (deg): 90.00 90.00 90.00
Space group P4/mmm (No. 123)
Asymmetric unit:
V (0.0000, 0.0000, 0.0000) (multiplicity 1)
Fe (0.0000, 0.0000, 0.3353) (multiplicity 2)
Pt (0.5000, 0.5000, 0.1650) (multiplicity 2)
Pt (0.5000, 0.5000, 0.5000) (multiplicity 1)

DFT formation energy in eV/atom: -0.36
N(E_F) in states/eV/f.u.: 4.07


(15)
Density functional theory data (PBE-GGA) for a relaxed structure of Mg2Sc2Pb.

a b c (Å): 4.1865 4.1865 15.2917
angles (deg): 90.00 90.00 90.00
Space group I4/mmm (No. 139)
Asymmetric unit:
Mg (0.0000, 0.0000, 0.0960) (multiplicity 4)
Sc (0.0000, 0.5000, 0.2500) (multiplicity 4)
Pb (0.0000, 0.0000, 0.5000) (multiplicity 2)

DFT formation energy in eV/atom: 0.24
N(E_F) in states/eV/f.u.: 5.46


(16)
Density functional theory data (PBE-GGA) for a relaxed structure of CsAcTiS4.

a b c (Å): 7.0830 6.8841 9.6618
angles (deg): 90.00 107.35 90.00
Space group P2_1/m (No. 11)
Asymmetric unit:
Cs (0.2194, 0.2500, 0.4347) (multiplicity 2)
Ac (0.2685, 0.2500, 0.9502) (multiplicity 2)
Ti (0.2837, 0.7500, 0.1729) (multiplicity 2)
S (0.0842, 0.7500, 0.3165) (multiplicity 2)
S (0.0945, 0.7500, 0.9400) (multiplicity 2)
S (0.4975, 0.0035, 0.2052) (multiplicity 4)

N(E_F) in states/eV/f.u.: 0.00
Formation energy (no corrections) in eV per atom: -1.693


(17)
Density functional theory data (PBE-GGA) for a relaxed structure of Cd5Pb12Au3.

a b c (Å): 17.4738 17.4738 17.4738
angles (deg): 90.00 90.00 90.00
Space group Ia-3d (No. 230)
Asymmetric unit:
Cd (0.0000, 0.0000, 0.0000) (multiplicity 16)
Cd (0.0000, 0.2500, 0.3750) (multiplicity 24)
Pb (0.0180, 0.0872, 0.6492) (multiplicity 96)
Au (0.0000, 0.2500, 0.1250) (multiplicity 24)

DFT formation energy in eV/atom: 0.14
N(E_F) in states/eV/f.u.: 12.42


(18)
Density functional theory data (PBE-GGA) for a relaxed structure of Y3Ni.

a b c (Å): 4.4043 4.4043 10.5285
angles (deg): 90.00 90.00 90.00
Space group I4/mmm (No. 139)
Asymmetric unit:
Y (0.0000, 0.0000, 0.0000) (multiplicity 2)
Y (0.0000, 0.5000, 0.2500) (multiplicity 4)
Ni (0.0000, 0.0000, 0.5000) (multiplicity 2)

DFT formation energy in eV/atom: 0.18
N(E_F) in states/eV/f.u.: 7.34


(19)
Density functional theory data (PBE-GGA) for a relaxed structure of Ca3Si2Au7.

a b c (Å): 4.7456 4.4008 12.5437
angles (deg): 90.00 96.68 90.00
Space group P2/m (No. 10)
Asymmetric unit:
Ca (0.0000, 0.0000, 0.0000) (multiplicity 1)
Ca (0.2964, 0.5000, 0.6378) (multiplicity 2)
Si (0.0630, 0.0000, 0.2503) (multiplicity 2)
Au (0.1826, 0.5000, 0.1844) (multiplicity 2)
Au (0.2401, 0.0000, 0.4396) (multiplicity 2)
Au (0.4320, 0.0000, 0.8289) (multiplicity 2)
Au (0.5000, 0.5000, 0.0000) (multiplicity 1)

N(E_F) in states/eV/f.u.: 4.12
Formation energy (no corrections) in eV per atom: -0.571


(20)
Density functional theory data (PBE-GGA) for a relaxed structure of Li2PrUS4.

a b c (Å): 6.6424 3.9804 6.9181
angles (deg): 90.00 110.24 90.00
Space group P2/m (No. 10)
Asymmetric unit:
Li (0.0000, 0.0000, 0.0000) (multiplicity 1)
Li (0.0000, 0.5000, 0.5000) (multiplicity 1)
Pr (0.5000, 0.0000, 0.5000) (multiplicity 1)
U (0.5000, 0.5000, 0.0000) (multiplicity 1)
S (0.2400, 0.5000, 0.2352) (multiplicity 2)
S (0.2446, 0.0000, 0.7584) (multiplicity 2)

N(E_F) in states/eV/f.u.: 5.84
Formation energy (no corrections) in eV per atom: -1.542


no.,uncorrected energy (eV per cell)
1,-57.8
2,-32.0
3,-203.7
4,-76.6
5,-8.7
6,-133.7
7,-155.5
8,-53.0
9,-30.5
10,-26.8
11,-13.3
12,-104.1
13,-67.7
14,-46.3
15,-36.7
16,-82.4
17,-448.1
18,-48.9
19,-46.6
20,-48.7